[1]
A relaxed LaOsBr crystal, computed with PBE-GGA.

excess energy over the best structure of this formula in the dataset	1.232	eV/atom
total DFT energy (no corrections)	-5.71	eV/atom
crystal system	orthorhombic
volume	295	Å³/cell
Fermi-level density of states	16.7	states/eV/cell
uncorrected formation energy	22.41	kJ per mole of atoms

Lattice parameters (Å, degrees): 4.808 4.818 12.726 90.00 90.00 90.00
Space group Fmm2 (No. 42)
Inequivalent atoms, fractional coordinates:
La 0.000 0.000 0.000 x4
Os 0.000 0.000 0.358 x4
Br 0.000 0.000 0.674 x4


[2]
A relaxed YInAgPb crystal, computed with PBE-GGA.

energy relative to the elements	-157	meV per atom
excess energy over the best structure of this formula in the dataset	0.171	eV/atom
total DFT energy (no corrections)	-4.10	eV/atom
crystal system	cubic
volume	401	Å³/cell
Fermi-level density of states	9.7	states/eV/cell

Lattice parameters (Å, degrees): 7.376 7.376 7.376 90.00 90.00 90.00
Space group F-43m (No. 216)
Inequivalent atoms, fractional coordinates:
Y 0.000 0.000 0.000 x4
In 0.250 0.250 0.250 x4
Ag 0.000 0.000 0.500 x4
Pb 0.250 0.250 0.750 x4